A plane-wave DFT calculation with PBE was carried out for crystalline Ta2Ti2Zn at its relaxed geometry.

Formation energy   -0.029 eV/atom
Fermi-level density of states   1.26 states/eV/atom
Energy relative to the lowest polymorph listed for this composition   0 meV per atom

Cell lengths 3.4638, 4.4247, 22.4231 Å; angles 90.00, 90.00, 90.00 degrees
Space group Fmmm (No. 69)
Symmetry-distinct sites (fractional):
1 Ta 0.0000 0.0000 0.1962 (multiplicity 8)
2 Ti 0.0000 0.0000 0.4026 (multiplicity 8)
3 Zn 0.0000 0.0000 0.0000 (multiplicity 4)

A plane-wave DFT calculation with PBE was carried out for crystalline TaTi3Zn2 at its relaxed geometry.

Formation energy   -0.106 eV/atom
Fermi-level density of states   1.22 states/eV/atom

Cell lengths 3.1948, 3.1948, 9.6250 Å; angles 90.00, 90.00, 90.00 degrees
Space group P4/mmm (No. 123)
Symmetry-distinct sites (fractional):
1 Ta 0.0000 0.0000 0.0000 (multiplicity 1)
2 Ti 0.5000 0.5000 0.1722 (multiplicity 2)
3 Ti 0.5000 0.5000 0.5000 (multiplicity 1)
4 Zn 0.0000 0.0000 0.3364 (multiplicity 2)

A plane-wave DFT calculation with PBE was carried out for crystalline Zr2TaTi at its relaxed geometry.

Formation energy   0.151 eV/atom
Fermi-level density of states   2.03 states/eV/atom

Cell lengths 3.4368, 3.4368, 6.8489 Å; angles 90.00, 90.00, 90.00 degrees
Space group P4/mmm (No. 123)
Symmetry-distinct sites (fractional):
1 Zr 0.0000 0.0000 0.2465 (multiplicity 2)
2 Ta 0.5000 0.5000 0.0000 (multiplicity 1)
3 Ti 0.5000 0.5000 0.5000 (multiplicity 1)

A plane-wave DFT calculation with PBE was carried out for crystalline Zr3TaTi at its relaxed geometry.

Formation energy   1.051 eV/atom
Fermi-level density of states   1.26 states/eV/atom
Energy relative to the lowest polymorph listed for this composition   0 meV per atom

Cell lengths 4.8685, 4.8685, 4.8685 Å; angles 90.00, 90.00, 90.00 degrees
Space group Pm-3m (No. 221)
Symmetry-distinct sites (fractional):
1 Zr 0.0000 0.0000 0.5000 (multiplicity 3)
2 Ta 0.5000 0.5000 0.5000 (multiplicity 1)
3 Ti 0.0000 0.0000 0.0000 (multiplicity 1)

A plane-wave DFT calculation with PBE was carried out for crystalline ZrTaTi4 at its relaxed geometry.

Formation energy   0.208 eV/atom
Fermi-level density of states   2.65 states/eV/atom

Cell lengths 7.6277, 7.6277, 7.6277 Å; angles 90.00, 90.00, 90.00 degrees
Space group F-43m (No. 216)
Symmetry-distinct sites (fractional):
1 Zr 0.0000 0.0000 0.0000 (multiplicity 4)
2 Ta 0.2500 0.2500 0.2500 (multiplicity 4)
3 Ti 0.1240 0.1240 0.6240 (multiplicity 16)

A plane-wave DFT calculation with PBE was carried out for crystalline ZrTa2Ti at its relaxed geometry.

Formation energy   0.180 eV/atom
Fermi-level density of states   1.93 states/eV/atom
Energy relative to the lowest polymorph listed for this composition   36 meV per atom

Cell lengths 6.7140, 6.7140, 6.7140 Å; angles 90.00, 90.00, 90.00 degrees
Space group Fm-3m (No. 225)
Symmetry-distinct sites (fractional):
1 Zr 0.0000 0.0000 0.0000 (multiplicity 4)
2 Ta 0.2500 0.2500 0.2500 (multiplicity 8)
3 Ti 0.0000 0.0000 0.5000 (multiplicity 4)

A plane-wave DFT calculation with PBE was carried out for crystalline ZrTa2Ti at its relaxed geometry.

Formation energy   0.168 eV/atom
Fermi-level density of states   1.33 states/eV/atom
Energy relative to the lowest polymorph listed for this composition   24 meV per atom

Cell lengths 4.0116, 4.0116, 4.7690 Å; angles 90.00, 90.00, 90.00 degrees
Space group P4/mmm (No. 123)
Symmetry-distinct sites (fractional):
1 Zr 0.0000 0.0000 0.0000 (multiplicity 1)
2 Ta 0.0000 0.5000 0.5000 (multiplicity 2)
3 Ti 0.5000 0.5000 0.0000 (multiplicity 1)

A plane-wave DFT calculation with PBE was carried out for crystalline Zr2TaTi at its relaxed geometry.

Formation energy   0.190 eV/atom
Fermi-level density of states   1.47 states/eV/atom

Cell lengths 3.0591, 3.0591, 30.4312 Å; angles 90.00, 90.00, 120.00 degrees
Space group R3m (No. 160, hexagonal axes)
Symmetry-distinct sites (fractional):
1 Zr 0.0000 0.0000 0.0000 (multiplicity 3)
2 Zr 0.0000 0.0000 0.1696 (multiplicity 3)
3 Ta 0.0000 0.0000 0.4181 (multiplicity 3)
4 Ti 0.0000 0.0000 0.5853 (multiplicity 3)

A plane-wave DFT calculation with PBE was carried out for crystalline ZrTa2Ti at its relaxed geometry.

Formation energy   0.636 eV/atom
Fermi-level density of states   0.92 states/eV/atom
Energy relative to the lowest polymorph listed for this composition   492 meV per atom

Cell lengths 7.5256, 7.5256, 5.6039 Å; angles 90.00, 90.00, 90.00 degrees
Space group I-42d (No. 122)
Symmetry-distinct sites (fractional):
1 Zr 0.0000 0.0000 0.0000 (multiplicity 4)
2 Ta 0.2353 0.2500 0.6250 (multiplicity 8)
3 Ti 0.0000 0.0000 0.5000 (multiplicity 4)

A plane-wave DFT calculation with PBE was carried out for crystalline ZrTa2Ti at its relaxed geometry.

Formation energy   0.144 eV/atom
Fermi-level density of states   1.73 states/eV/atom
Energy relative to the lowest polymorph listed for this composition   0 meV per atom

Cell lengths 3.3441, 3.3441, 6.7882 Å; angles 90.00, 90.00, 90.00 degrees
Space group P4/mmm (No. 123)
Symmetry-distinct sites (fractional):
1 Zr 0.0000 0.0000 0.0000 (multiplicity 1)
2 Ta 0.5000 0.5000 0.2767 (multiplicity 2)
3 Ti 0.0000 0.0000 0.5000 (multiplicity 1)

A plane-wave DFT calculation with PBE was carried out for crystalline Zr2TaTi at its relaxed geometry.

Formation energy   0.152 eV/atom
Fermi-level density of states   1.93 states/eV/atom

Cell lengths 5.1029, 5.1029, 3.1199 Å; angles 90.00, 90.00, 90.00 degrees
Space group P4/mmm (No. 123)
Symmetry-distinct sites (fractional):
1 Zr 0.0000 0.5000 0.0000 (multiplicity 2)
2 Ta 0.0000 0.0000 0.5000 (multiplicity 1)
3 Ti 0.5000 0.5000 0.5000 (multiplicity 1)

A plane-wave DFT calculation with PBE was carried out for crystalline Zr2TaTi2 at its relaxed geometry.

Formation energy   0.242 eV/atom
Fermi-level density of states   1.76 states/eV/atom

Cell lengths 7.2649, 7.2649, 3.8057 Å; angles 90.00, 90.00, 90.00 degrees
Space group P4/mbm (No. 127)
Symmetry-distinct sites (fractional):
1 Zr 0.1629 0.3371 0.0000 (multiplicity 4)
2 Ta 0.0000 0.0000 0.5000 (multiplicity 2)
3 Ti 0.1394 0.6394 0.5000 (multiplicity 4)

A plane-wave DFT calculation with PBE was carried out for crystalline Zr2TaTi at its relaxed geometry.

Formation energy   0.579 eV/atom
Fermi-level density of states   1.11 states/eV/atom

Cell lengths 7.5695, 7.5695, 5.8123 Å; angles 90.00, 90.00, 90.00 degrees
Space group I-42d (No. 122)
Symmetry-distinct sites (fractional):
1 Zr 0.2442 0.2500 0.1250 (multiplicity 8)
2 Ta 0.0000 0.0000 0.5000 (multiplicity 4)
3 Ti 0.0000 0.0000 0.0000 (multiplicity 4)

A plane-wave DFT calculation with PBE was carried out for crystalline Ta3Tl at its relaxed geometry.

Formation energy   0.370 eV/atom
Fermi-level density of states   1.56 states/eV/atom

Cell lengths 6.0648, 6.0648, 4.8815 Å; angles 90.00, 90.00, 120.00 degrees
Space group P6_3/mmc (No. 194)
Symmetry-distinct sites (fractional):
1 Ta 0.1556 0.3112 0.2500 (multiplicity 6)
2 Tl 0.3333 0.6667 0.7500 (multiplicity 2)

A plane-wave DFT calculation with PBE was carried out for crystalline Ta2Tl3 at its relaxed geometry.

Formation energy   0.676 eV/atom
Fermi-level density of states   0.54 states/eV/atom

Cell lengths 13.5942, 13.6329, 5.1495 Å; angles 90.00, 90.00, 90.00 degrees
Space group Fdd2 (No. 43)
Symmetry-distinct sites (fractional):
1 Ta 0.0343 0.2149 0.0000 (multiplicity 16)
2 Tl 0.0000 0.0000 0.8946 (multiplicity 8)
3 Tl 0.1114 0.1280 0.4969 (multiplicity 16)

A plane-wave DFT calculation with PBE was carried out for crystalline Ta3Tl5 at its relaxed geometry.

Formation energy   0.731 eV/atom
Fermi-level density of states   0.59 states/eV/atom
Energy relative to the lowest polymorph listed for this composition   116 meV per atom

Cell lengths 8.5826, 8.5826, 5.6601 Å; angles 90.00, 90.00, 120.00 degrees
Space group P6_3/mcm (No. 193)
Symmetry-distinct sites (fractional):
1 Ta 0.0000 0.4112 0.2500 (multiplicity 6)
2 Tl 0.0000 0.2266 0.7500 (multiplicity 6)
3 Tl 0.3333 0.6667 0.0000 (multiplicity 4)

A plane-wave DFT calculation with PBE was carried out for crystalline Ta3Tl at its relaxed geometry.

Formation energy   0.264 eV/atom
Fermi-level density of states   0.86 states/eV/atom

Cell lengths 3.3993, 4.8699, 9.4875 Å; angles 90.00, 90.00, 90.00 degrees
Space group Cmmm (No. 65)
Symmetry-distinct sites (fractional):
1 Ta 0.0000 0.0000 0.0000 (multiplicity 2)
2 Ta 0.0000 0.5000 0.2353 (multiplicity 4)
3 Tl 0.0000 0.0000 0.5000 (multiplicity 2)

A plane-wave DFT calculation with PBE was carried out for crystalline TaTl3 at its relaxed geometry.

Formation energy   0.612 eV/atom
Fermi-level density of states   0.57 states/eV/atom

Cell lengths 10.1991, 10.1991, 3.2116 Å; angles 90.00, 90.00, 120.00 degrees
Space group R-3m (No. 166, hexagonal axes)
Symmetry-distinct sites (fractional):
1 Ta 0.0000 0.0000 0.0000 (multiplicity 3)
2 Tl 0.0000 0.5000 0.0000 (multiplicity 9)

A plane-wave DFT calculation with PBE was carried out for crystalline Ta3Tl at its relaxed geometry.

Formation energy   0.333 eV/atom
Fermi-level density of states   0.96 states/eV/atom

Cell lengths 2.9429, 4.8094, 5.5652 Å; angles 90.00, 98.43, 90.00 degrees
Space group P2/m (No. 10)
Symmetry-distinct sites (fractional):
1 Ta 0.0000 0.0000 0.0000 (multiplicity 1)
2 Ta 0.2555 0.5000 0.7725 (multiplicity 2)
3 Tl 0.5000 0.0000 0.5000 (multiplicity 1)

A plane-wave DFT calculation with PBE was carried out for crystalline Ta3Tl at its relaxed geometry.

Formation energy   0.381 eV/atom
Fermi-level density of states   1.01 states/eV/atom

Cell lengths 5.9563, 8.6395, 2.9936 Å; angles 90.00, 90.00, 90.00 degrees
Space group Cmmm (No. 65)
Symmetry-distinct sites (fractional):
1 Ta 0.0000 0.0000 0.0000 (multiplicity 2)
2 Ta 0.2500 0.2500 0.5000 (multiplicity 4)
3 Tl 0.0000 0.5000 0.0000 (multiplicity 2)

A plane-wave DFT calculation with PBE was carried out for crystalline TaTl3 at its relaxed geometry.

Formation energy   0.603 eV/atom
Fermi-level density of states   0.38 states/eV/atom

Cell lengths 5.5640, 5.5640, 3.1359 Å; angles 90.00, 90.00, 90.00 degrees
Space group P4/mmm (No. 123)
Symmetry-distinct sites (fractional):
1 Ta 0.0000 0.0000 0.0000 (multiplicity 1)
2 Tl 0.0000 0.5000 0.5000 (multiplicity 2)
3 Tl 0.5000 0.5000 0.0000 (multiplicity 1)

A plane-wave DFT calculation with PBE was carried out for crystalline TaTl3 at its relaxed geometry.

Formation energy   0.628 eV/atom
Fermi-level density of states   0.68 states/eV/atom

Cell lengths 3.3144, 4.5221, 6.4171 Å; angles 90.00, 90.00, 90.00 degrees
Space group Pmmm (No. 47)
Symmetry-distinct sites (fractional):
1 Ta 0.0000 0.0000 0.0000 (multiplicity 1)
2 Tl 0.0000 0.0000 0.5000 (multiplicity 1)
3 Tl 0.5000 0.5000 0.2330 (multiplicity 2)

A plane-wave DFT calculation with PBE was carried out for crystalline TaTl3 at its relaxed geometry.

Formation energy   0.533 eV/atom
Fermi-level density of states   0.85 states/eV/atom

Cell lengths 3.0221, 5.0820, 14.4594 Å; angles 90.00, 90.00, 90.00 degrees
Space group Immm (No. 71)
Symmetry-distinct sites (fractional):
1 Ta 0.0000 0.0000 0.0000 (multiplicity 2)
2 Tl 0.0000 0.0000 0.5000 (multiplicity 2)
3 Tl 0.0000 0.5000 0.3157 (multiplicity 4)

A plane-wave DFT calculation with PBE was carried out for crystalline TaTl3 at its relaxed geometry.

Formation energy   0.488 eV/atom
Fermi-level density of states   0.88 states/eV/atom

Cell lengths 3.1361, 3.1361, 10.1562 Å; angles 90.00, 90.00, 90.00 degrees
Space group P4/mmm (No. 123)
Symmetry-distinct sites (fractional):
1 Ta 0.0000 0.0000 0.0000 (multiplicity 1)
2 Tl 0.0000 0.0000 0.5000 (multiplicity 1)
3 Tl 0.5000 0.5000 0.2210 (multiplicity 2)

A plane-wave DFT calculation with PBE was carried out for crystalline TaTl3 at its relaxed geometry.

Formation energy   0.507 eV/atom
Fermi-level density of states   0.47 states/eV/atom

Cell lengths 6.6525, 9.7291, 6.0872 Å; angles 90.00, 90.00, 90.00 degrees
Space group Pnma (No. 62)
Symmetry-distinct sites (fractional):
1 Ta 0.1431 0.2500 0.1379 (multiplicity 4)
2 Tl 0.0081 0.7500 0.3393 (multiplicity 4)
3 Tl 0.2000 0.5287 0.8958 (multiplicity 8)

A plane-wave DFT calculation with PBE was carried out for crystalline Ta3Tl at its relaxed geometry.

Formation energy   0.355 eV/atom
Fermi-level density of states   1.61 states/eV/atom

Cell lengths 5.3485, 5.3485, 5.3485 Å; angles 90.00, 90.00, 90.00 degrees
Space group Pm-3n (No. 223)
Symmetry-distinct sites (fractional):
1 Ta 0.0000 0.2500 0.5000 (multiplicity 6)
2 Tl 0.0000 0.0000 0.0000 (multiplicity 2)

A plane-wave DFT calculation with PBE was carried out for crystalline TaTl3 at its relaxed geometry.

Formation energy   0.915 eV/atom
Fermi-level density of states   0.98 states/eV/atom

Cell lengths 7.4221, 7.4221, 7.4221 Å; angles 90.00, 90.00, 90.00 degrees
Space group Fm-3m (No. 225)
Symmetry-distinct sites (fractional):
1 Ta 0.0000 0.0000 0.0000 (multiplicity 4)
2 Tl 0.0000 0.0000 0.5000 (multiplicity 4)
3 Tl 0.2500 0.2500 0.2500 (multiplicity 8)